DFT (PBE) results for a relaxed structure of MgGa5O8.

The formation energy (no corrections) comes out at -1.878 eV per atom. For the density of states at the Fermi level, the calculation gives 3.157 states/eV/cell. The crystal system is cubic. The total magnetization comes out at 0.000 μB per formula unit. Its volume is 155.5 Å³/f.u.

It has space group F-43m (No. 216), with a = 8.535 Å, b = 8.535 Å, c = 8.535 Å, α = 90.00°, β = 90.00° and γ = 90.00°. The asymmetric unit holds Mg at (0.000, 0.000, 0.000), Ga at (0.127, 0.127, 0.373), Ga at (0.250, 0.250, 0.750), O at (0.114, 0.114, 0.614) and O at (0.137, 0.137, 0.137).